VASP calculation (PBE) on LaNdI after structural relaxation.

Lattice parameters (Å, degrees): 7.799 7.799 7.799 151.82 151.82 40.27
Fractional positions:
La (0.000, 0.000, 0.000)
Nd (0.319, 0.319, 0.000)
I (0.662, 0.662, 0.000)

Calculated values
For the energy relative to the elements, uncorrected, the calculation gives -1.50 eV/f.u. As for the polymorph energy (0 for the lowest one): 69 meV per atom. The density of states at the Fermi level comes out at 4.43 states/eV/cell. For the total magnetic moment, the calculation gives 0.000 μB per atom.